# 1
This record from the Alexandria database describes TbU2O7 after structural relaxation. The functional is PBE.

Summary:
symmetry	R-3m, No. 166
size of the total moment	1.0	Bohr magnetons per cell
formation energy (no corrections)	-3285	meV/atom

Cell lengths 10.4769, 10.4769, 10.4769 Å; angles 21.09, 21.09, 21.09 degrees
Sites, in units of the cell vectors:
1 Tb 0.0000 0.0000 0.0000
2 U 0.4324 0.4324 0.4324
3 U 0.5676 0.5676 0.5676
4 O 0.0773 0.0773 0.0773
5 O 0.2202 0.2202 0.2202
6 O 0.3622 0.3622 0.3622
7 O 0.5000 0.5000 0.5000
8 O 0.6378 0.6378 0.6378
9 O 0.7798 0.7798 0.7798
10 O 0.9227 0.9227 0.9227

# 2
This record from the Alexandria database describes TbU2O6 after structural relaxation. The functional is PBE.

Summary:
symmetry	P-3m1, No. 164
size of the total moment	3.0	Bohr magnetons per cell
formation energy (no corrections)	-3412	meV/atom

Cell lengths 3.8424, 3.8424, 9.2217 Å; angles 90.00, 90.00, 120.00 degrees
Sites, in units of the cell vectors:
1 Tb 0.0000 0.0000 0.0000
2 U 0.3333 0.6667 0.6701
3 U 0.6667 0.3333 0.3299
4 O 0.0000 0.0000 0.2616
5 O 0.0000 0.0000 0.7384
6 O 0.3333 0.6667 0.4195
7 O 0.3333 0.6667 0.9044
8 O 0.6667 0.3333 0.0956
9 O 0.6667 0.3333 0.5805

What total energy values result from the calculations? In sequence: -9.476; -9.741 eV/atom.